A geometry-optimized Nb2Ag2Hg structure, computed with PBE-GGA.

Properties
Its energy above the most stable polymorph in this dataset is 11 meV per atom. Its density of states at the Fermi level is 7.0 states/eV per cell. As for the formation energy: 0.5227 eV/atom.

```
data_Nb2Ag2Hg
_chemical_formula_sum 'Nb4 Ag4 Hg2'
_symmetry_space_group_name_H-M 'P 4/m b m'
_symmetry_Int_Tables_number 127
_symmetry_space_group_name_Hall '-P 4 2ab'
_cell_length_a 8.223
_cell_length_b 8.223
_cell_length_c 2.850
_cell_angle_alpha 90.00
_cell_angle_beta 90.00
_cell_angle_gamma 90.00
loop_
_atom_site_label
_atom_site_type_symbol
_atom_site_fract_x
_atom_site_fract_y
_atom_site_fract_z
Nb1 Nb 0.176 0.324 0.000
Ag1 Ag 0.120 0.620 0.500
Hg1 Hg 0.000 0.000 0.500
```